# Re2SiTc PBE relaxed
data_Re2SiTc
_chemical_formula_sum 'Re6 Si3 Tc3'
_symmetry_space_group_name_H-M 'R 3 m'
_symmetry_Int_Tables_number 160
_symmetry_space_group_name_Hall 'R 3 -2"'
_cell_length_a 2.8034
_cell_length_b 2.8034
_cell_length_c 25.3498
_cell_angle_alpha 90.00
_cell_angle_beta 90.00
_cell_angle_gamma 120.00
loop_
_atom_site_label
_atom_site_type_symbol
_atom_site_fract_x
_atom_site_fract_y
_atom_site_fract_z
Re1 Re 0.0000 0.0000 0.0000
Re2 Re 0.0000 0.0000 0.2471
Si1 Si 0.0000 0.0000 0.4991
Tc1 Tc 0.0000 0.0000 0.7530
# E_tot ... -10.201 eV/atom
# Magnetic moment ... 0.000 μB/cell
# ΔE_f (raw) ... -0.03 eV per atom

# TlGeHBr2 PBE relaxed
data_TlGeHBr2
_chemical_formula_sum 'Tl1 Ge1 H1 Br2'
_symmetry_space_group_name_H-M 'P 4/m m m'
_symmetry_Int_Tables_number 123
_symmetry_space_group_name_Hall '-P 4 2'
_cell_length_a 5.700
_cell_length_b 5.700
_cell_length_c 3.864
_cell_angle_alpha 90.00
_cell_angle_beta 90.00
_cell_angle_gamma 90.00
loop_
_atom_site_label
_atom_site_type_symbol
_atom_site_fract_x
_atom_site_fract_y
_atom_site_fract_z
Tl1 Tl 0.000 0.000 0.000
Ge1 Ge 0.500 0.500 0.500
H1 H 0.500 0.500 0.000
Br1 Br 0.000 0.500 0.500
# E_tot ... -3.040 eV/atom
# Magnetic moment ... 0.000 μB/cell

# SrNi2HgRh PBE relaxed
data_SrNi2HgRh
_chemical_formula_sum 'Sr1 Ni2 Hg1 Rh1'
_symmetry_space_group_name_H-M 'P 4/m m m'
_symmetry_Int_Tables_number 123
_symmetry_space_group_name_Hall '-P 4 2'
_cell_length_a 4.719
_cell_length_b 4.719
_cell_length_c 5.162
_cell_angle_alpha 90.00
_cell_angle_beta 90.00
_cell_angle_gamma 90.00
loop_
_atom_site_label
_atom_site_type_symbol
_atom_site_fract_x
_atom_site_fract_y
_atom_site_fract_z
Sr1 Sr 0.000 0.000 0.000
Ni1 Ni 0.000 0.500 0.500
Hg1 Hg 0.500 0.500 0.000
Rh1 Rh 0.500 0.500 0.500
# E_tot ... -3.875 eV/atom
# Magnetic moment ... 2.193 μB/cell
# ΔE_f ... 29.4 kJ per mole of atoms

# Tb2Pm7Dy2 PBE relaxed
data_Tb2Pm7Dy2
_chemical_formula_sum 'Tb4 Pm14 Dy4'
_symmetry_space_group_name_H-M 'C 1 2/m 1'
_symmetry_Int_Tables_number 12
_cell_length_a 10.788
_cell_length_b 8.807
_cell_length_c 8.237
_cell_angle_alpha 90.00
_cell_angle_beta 105.00
_cell_angle_gamma 90.00
loop_
_symmetry_equiv_pos_as_xyz
'x,y,z'
'-x,-y,-z'
'-x,y,-z'
'x,-y,z'
'x+1/2,y+1/2,z'
'-x+1/2,-y+1/2,-z'
'-x+1/2,y+1/2,-z'
'x+1/2,-y+1/2,z'
loop_
_atom_site_label
_atom_site_type_symbol
_atom_site_fract_x
_atom_site_fract_y
_atom_site_fract_z
Tb1 Tb 0.000 0.210 0.000
Pm1 Pm 0.000 0.000 0.500
Pm2 Pm 0.220 0.303 0.680
Pm3 Pm 0.236 0.500 0.051
Dy1 Dy 0.051 0.500 0.312
# E_tot ... -4.544 eV/atom
# Magnetic moment ... 0.000 μB/cell
# ΔE_f ... 15.2 kJ per mole of atoms
# ΔE to the lowest computed polymorph ... 0.00 eV per formula unit

# CsTmSiS4 PBE relaxed
data_CsTmSiS4
_chemical_formula_sum 'Cs2 Tm2 Si2 S8'
_symmetry_space_group_name_H-M 'P 1 21/m 1'
_symmetry_Int_Tables_number 11
_cell_length_a 6.350
_cell_length_b 6.734
_cell_length_c 9.448
_cell_angle_alpha 90.00
_cell_angle_beta 108.46
_cell_angle_gamma 90.00
loop_
_symmetry_equiv_pos_as_xyz
'x,y,z'
'-x,-y,-z'
'-x,y+1/2,-z'
'x,-y+1/2,z'
loop_
_atom_site_label
_atom_site_type_symbol
_atom_site_fract_x
_atom_site_fract_y
_atom_site_fract_z
Cs1 Cs 0.234 0.250 0.438
Tm1 Tm 0.277 0.250 0.956
Si1 Si 0.276 0.750 0.155
S1 S 0.065 0.750 0.932
S2 S 0.081 0.750 0.300
S3 S 0.498 0.003 0.810
# E_tot ... -5.319 eV/atom
# Magnetic moment ... 0.000 μB/cell
# ΔE_f (raw) ... -1.42 eV per atom
# ΔE to the lowest computed polymorph ... 0.07 eV per formula unit

# ErCd5Hg6 PBE relaxed
data_ErCd5Hg6
_chemical_formula_sum 'Er2 Cd10 Hg12'
_symmetry_space_group_name_H-M 'C 1 2/m 1'
_symmetry_Int_Tables_number 12
_cell_length_a 8.931
_cell_length_b 15.751
_cell_length_c 4.791
_cell_angle_alpha 90.00
_cell_angle_beta 121.86
_cell_angle_gamma 90.00
loop_
_symmetry_equiv_pos_as_xyz
'x,y,z'
'-x,-y,-z'
'-x,y,-z'
'x,-y,z'
'x+1/2,y+1/2,z'
'-x+1/2,-y+1/2,-z'
'-x+1/2,y+1/2,-z'
'x+1/2,-y+1/2,z'
loop_
_atom_site_label
_atom_site_type_symbol
_atom_site_fract_x
_atom_site_fract_y
_atom_site_fract_z
Er1 Er 0.000 0.000 0.000
Cd1 Cd 0.000 0.166 0.500
Cd2 Cd 0.000 0.317 0.000
Cd3 Cd 0.000 0.500 0.500
Hg1 Hg 0.239 0.500 0.240
Hg2 Hg 0.243 0.340 0.745
# E_tot ... -1.006 eV/atom
# Magnetic moment ... 0.000 μB/cell
# ΔE_f ... -9.0 kJ per mole of atoms
# ΔE to the lowest computed polymorph ... 0.00 eV per formula unit

# Sm6InSi2 PBE relaxed
data_Sm6InSi2
_chemical_formula_sum 'Sm24 In4 Si8'
_symmetry_space_group_name_H-M 'I m m m'
_symmetry_Int_Tables_number 71
_symmetry_space_group_name_Hall '-I 2 2'
_cell_length_a 9.710
_cell_length_b 9.981
_cell_length_c 10.496
_cell_angle_alpha 90.00
_cell_angle_beta 90.00
_cell_angle_gamma 90.00
loop_
_atom_site_label
_atom_site_type_symbol
_atom_site_fract_x
_atom_site_fract_y
_atom_site_fract_z
Sm1 Sm 0.000 0.205 0.239
Sm2 Sm 0.205 0.500 0.180
Sm3 Sm 0.223 0.315 0.500
In1 In 0.000 0.000 0.000
In2 In 0.000 0.000 0.500
Si1 Si 0.000 0.373 0.000
Si2 Si 0.000 0.500 0.387
# E_tot ... -5.159 eV/atom
# Magnetic moment ... 0.001 μB/cell
# ΔE_f (raw) ... -0.50 eV per atom

# CsBiC2O6 PBE relaxed
data_CsBiC2O6
_chemical_formula_sum 'Cs4 Bi4 C8 O24'
_symmetry_space_group_name_H-M 'C 1 2/c 1'
_symmetry_Int_Tables_number 15
_cell_length_a 9.401
_cell_length_b 9.870
_cell_length_c 7.626
_cell_angle_alpha 90.00
_cell_angle_beta 112.20
_cell_angle_gamma 90.00
loop_
_symmetry_equiv_pos_as_xyz
'x,y,z'
'-x,-y,-z'
'-x,y,-z+1/2'
'x,-y,z+1/2'
'x+1/2,y+1/2,z'
'-x+1/2,-y+1/2,-z'
'-x+1/2,y+1/2,-z+1/2'
'x+1/2,-y+1/2,z+1/2'
loop_
_atom_site_label
_atom_site_type_symbol
_atom_site_fract_x
_atom_site_fract_y
_atom_site_fract_z
Cs1 Cs 0.000 0.105 0.250
Bi1 Bi 0.000 0.418 0.750
C1 C 0.215 0.383 0.246
O1 O 0.074 0.393 0.110
O2 O 0.191 0.209 0.751
O3 O 0.244 0.477 0.376
# E_tot ... -6.796 eV/atom
# Magnetic moment ... 0.000 μB/cell
# ΔE_f (raw) ... -1.50 eV per atom

# HfPd12Au6 PBE relaxed
data_HfPd12Au6
_chemical_formula_sum 'Hf3 Pd36 Au18'
_symmetry_space_group_name_H-M 'R -3'
_symmetry_Int_Tables_number 148
_symmetry_space_group_name_Hall '-R 3'
_cell_length_a 9.8690
_cell_length_b 9.8690
_cell_length_c 11.5301
_cell_angle_alpha 90.00
_cell_angle_beta 90.00
_cell_angle_gamma 120.00
loop_
_atom_site_label
_atom_site_type_symbol
_atom_site_fract_x
_atom_site_fract_y
_atom_site_fract_z
Hf1 Hf 0.0000 0.0000 0.0000
Pd1 Pd 0.0397 0.1831 0.8144
Pd2 Pd 0.0610 0.8562 0.4085
Au1 Au 0.0222 0.4331 0.7095
# E_tot ... -4.948 eV/atom
# Magnetic moment ... 0.000 μB/cell
# ΔE_f ... -10.6 kJ per mole of atoms

# MnS2Br PBE relaxed
data_MnS2Br
_chemical_formula_sum 'Mn4 S8 Br4'
_symmetry_space_group_name_H-M 'I -4 2 d'
_symmetry_Int_Tables_number 122
_symmetry_space_group_name_Hall 'I -4 2bw'
_cell_length_a 6.218
_cell_length_b 6.218
_cell_length_c 9.285
_cell_angle_alpha 90.00
_cell_angle_beta 90.00
_cell_angle_gamma 90.00
loop_
_atom_site_label
_atom_site_type_symbol
_atom_site_fract_x
_atom_site_fract_y
_atom_site_fract_z
Mn1 Mn 0.000 0.000 0.000
S1 S 0.124 0.250 0.125
Br1 Br 0.000 0.000 0.500
# E_tot ... -4.826 eV/atom
# Magnetic moment ... 0.000 μB/cell
# ΔE_f (raw) ... -0.05 eV per atom
# ΔE to the lowest computed polymorph ... 0.95 eV per formula unit

# AcTbMgTl PBE relaxed
data_AcTbMgTl
_chemical_formula_sum 'Ac4 Tb4 Mg4 Tl4'
_symmetry_space_group_name_H-M 'F -4 3 m'
_symmetry_Int_Tables_number 216
_symmetry_space_group_name_Hall 'F -4 2 3'
_cell_length_a 7.944
_cell_length_b 7.944
_cell_length_c 7.944
_cell_angle_alpha 90.00
_cell_angle_beta 90.00
_cell_angle_gamma 90.00
loop_
_atom_site_label
_atom_site_type_symbol
_atom_site_fract_x
_atom_site_fract_y
_atom_site_fract_z
Ac1 Ac 0.000 0.000 0.000
Tb1 Tb 0.000 0.000 0.500
Mg1 Mg 0.250 0.250 0.750
Tl1 Tl 0.250 0.250 0.250
# E_tot ... -3.372 eV/atom
# Magnetic moment ... 0.001 μB/cell
# ΔE_f ... -19.1 kJ per mole of atoms
# ΔE to the lowest computed polymorph ... 0.04 eV per formula unit

# Pm4Sb2Rh PBE relaxed
data_Pm4Sb2Rh
_chemical_formula_sum 'Pm8 Sb4 Rh2'
_symmetry_space_group_name_H-M 'C 1 2/m 1'
_symmetry_Int_Tables_number 12
_cell_length_a 15.943
_cell_length_b 4.353
_cell_length_c 7.424
_cell_angle_alpha 90.00
_cell_angle_beta 117.39
_cell_angle_gamma 90.00
loop_
_symmetry_equiv_pos_as_xyz
'x,y,z'
'-x,-y,-z'
'-x,y,-z'
'x,-y,z'
'x+1/2,y+1/2,z'
'-x+1/2,-y+1/2,-z'
'-x+1/2,y+1/2,-z'
'x+1/2,-y+1/2,z'
loop_
_atom_site_label
_atom_site_type_symbol
_atom_site_fract_x
_atom_site_fract_y
_atom_site_fract_z
Pm1 Pm 0.115 0.000 0.427
Pm2 Pm 0.117 0.500 0.977
Sb1 Sb 0.235 0.500 0.734
Rh1 Rh 0.000 0.000 0.000
# E_tot ... -5.658 eV/atom
# Magnetic moment ... 0.000 μB/cell
# ΔE_f (raw) ... -0.71 eV per atom
# ΔE to the lowest computed polymorph ... 0.00 eV per formula unit